1.
Density functional theory data (GGA-PBE) for a geometry-optimized CsHgSbI2 structure.

## Properties
Space-group type: P4/mmm
Energy relative to the lowest polymorph listed for this composition (meV per atom): 0

Cell lengths 6.3960, 6.3960, 5.8059 Å; angles 90.00, 90.00, 90.00 degrees
Last column: nearest neighbours and their distance in Å.
Sites, in units of the cell vectors:
Cs (0.5000, 0.5000, 0.5000)  8 I 4.32, 4 Hg 4.52
I (0.0000, 0.5000, 0.0000)  2 Sb 3.20
I (0.5000, 0.0000, 0.0000)  2 Sb 3.20
Hg (0.0000, 0.0000, 0.5000)  2 Sb 2.90
Sb (0.0000, 0.0000, 0.0000)  2 Hg 2.90, 4 I 3.20

2.
Density functional theory data (GGA-PBE) for a geometry-optimized LaReTc structure.

## Properties
E_form (meV per atom): 1737
Space-group type: F-43m
Energy relative to the lowest polymorph listed for this composition (meV per atom): 1647

Cell lengths 4.4503, 4.4503, 4.4503 Å; angles 60.00, 60.00, 60.00 degrees
Last column: nearest neighbours and their distance in Å.
Sites, in units of the cell vectors:
La (0.7500, 0.7500, 0.7500)  4 Re 2.73, 4 Tc 2.73
Re (0.0000, 0.0000, 0.0000)  4 La 2.73
Tc (0.5000, 0.5000, 0.5000)  4 La 2.73

3.
Density functional theory data (GGA-PBE) for a geometry-optimized NaLiAu structure.

## Properties
E_form (meV per atom): -294
Space-group type: Pm
Energy relative to the lowest polymorph listed for this composition (meV per atom): 71

Cell lengths 5.1950, 4.9150, 5.2338 Å; angles 90.00, 117.47, 90.00 degrees
Last column: nearest neighbours and their distance in Å.
Sites, in units of the cell vectors:
Na (0.9739, 0.5000, 0.8937)  3 Na 2.88-3.15, 5 Au 3.02-3.09, 4 Li 3.11-3.13
Na (0.2977, 0.5000, 0.5717)  3 Na 2.88-3.15, 5 Au 3.01-3.07, 4 Li 3.07-3.11
Li (0.6322, 0.0000, 0.9405)  1 Li 2.64, 3 Au 2.79-2.89
Li (0.3407, 0.0000, 0.2416)  1 Li 2.64, 3 Au 2.79-2.90
Au (0.6322, 0.5000, 0.2299)  4 Li 2.89-2.90, 2 Au 2.98, 6 Na 3.01-3.09
Au (0.9449, 0.0000, 0.5391)  3 Li 2.79-3.10, 2 Au 2.98, 4 Na 3.02-3.04

4.
Density functional theory data (GGA-PBE) for a geometry-optimized UNbRe structure.

## Properties
E_form (meV per atom): 253
Space-group type: I4mm
Energy relative to the lowest polymorph listed for this composition (meV per atom): 0

Cell lengths 3.4357, 3.4357, 5.2854 Å; angles 108.97, 108.97, 90.00 degrees
Last column: nearest neighbours and their distance in Å.
Sites, in units of the cell vectors:
Re (0.6270, 0.6270, 0.2540)  4 U 2.80, 5 Nb 2.95-3.01
Nb (0.9479, 0.9479, 0.8959)  5 U 2.92-3.07, 5 Re 2.95-3.01
U (0.2751, 0.2751, 0.5501)  4 Re 2.80, 5 Nb 2.92-3.07

5.
Density functional theory data (GGA-PBE) for a geometry-optimized TbPmSm5Tm2 structure.

## Properties
E_form (meV per atom): 152
Space-group type: Cmc2_1

Cell lengths 5.6319, 10.4781, 10.6682 Å; angles 90.00, 90.00, 105.59 degrees
Last column: nearest neighbours and their distance in Å.
Sites, in units of the cell vectors:
Tb (0.5875, 0.1750, 0.9546)  5 Sm 3.07-3.33
Tb (0.4125, 0.8250, 0.4546)  5 Sm 3.07-3.33
Pm (0.7993, 0.5986, 0.5103)  2 Tm 3.43-3.71, 7 Sm 3.50-3.80, 2 Tb 3.67
Pm (0.2007, 0.4014, 0.0103)  2 Tm 3.43-3.71, 7 Sm 3.50-3.80, 2 Tb 3.67
Sm (0.3916, 0.7833, 0.0251)  5 Sm 3.48-3.78, 4 Tm 3.58-3.62, 1 Pm 3.86
Sm (0.7185, 0.4369, 0.8086)  1 Tb 3.07, 1 Tm 3.35, 2 Sm 3.42
Sm (0.4787, 0.9574, 0.7405)  2 Tb 3.17-3.33, 2 Sm 3.48-3.51, 2 Tm 3.50
Sm (0.2980, 0.5960, 0.7052)  3 Sm 3.42-3.67, 3 Pm 3.50-3.80, 3 Tm 3.52-3.81, 1 Tb 3.53
Sm (0.9832, 0.9663, 0.5233)  2 Tb 3.24, 3 Tm 3.44-3.58
Sm (0.6084, 0.2167, 0.5251)  5 Sm 3.48-3.78, 4 Tm 3.58-3.62, 1 Pm 3.86
Sm (0.2815, 0.5631, 0.3086)  1 Tb 3.07, 1 Tm 3.35, 2 Sm 3.42
Sm (0.5213, 0.0426, 0.2405)  2 Tb 3.17-3.33, 2 Sm 3.48-3.51, 2 Tm 3.50
Sm (0.7020, 0.4040, 0.2052)  3 Sm 3.42-3.67, 3 Pm 3.50-3.80, 3 Tm 3.52-3.81, 1 Tb 3.53
Sm (0.0168, 0.0337, 0.0233)  2 Tb 3.24, 3 Tm 3.44-3.58
Tm (0.8843, 0.7687, 0.8183)  9 Sm 3.35-3.73, 1 Pm 3.71
Tm (0.1101, 0.2202, 0.7380)  1 Pm 3.43, 7 Sm 3.44-3.81, 2 Tb 3.67
Tm (0.1157, 0.2313, 0.3183)  9 Sm 3.35-3.73, 1 Pm 3.71
Tm (0.8899, 0.7798, 0.2380)  1 Pm 3.43, 7 Sm 3.44-3.81, 2 Tb 3.67

6.
Density functional theory data (GGA-PBE) for a geometry-optimized Pr6Tl5Cd structure.

## Properties
E_form (meV per atom): -240
Space-group type: C2/m
Energy relative to the lowest polymorph listed for this composition (meV per atom): 143

Cell lengths 6.7263, 10.1447, 7.7917 Å; angles 49.38, 81.42, 76.75 degrees
Last column: nearest neighbours and their distance in Å.
Sites, in units of the cell vectors:
Pr (0.7495, 0.0856, 0.3313)  5 Tl 3.33-3.37, 1 Cd 3.35
Pr (0.2505, 0.5831, 0.3313)  5 Tl 3.33-3.37, 1 Cd 3.35
Pr (0.2441, 0.2517, 0.0000)  1 Cd 3.34, 5 Tl 3.35-3.36
Pr (0.7559, 0.7483, 0.0000)  1 Cd 3.34, 5 Tl 3.35-3.36
Pr (0.7495, 0.4169, 0.6687)  5 Tl 3.33-3.37, 1 Cd 3.35
Pr (0.2505, 0.9144, 0.6687)  5 Tl 3.33-3.37, 1 Cd 3.35
Tl (0.5000, 0.1631, 0.6738)  6 Pr 3.35-3.37
Tl (0.0000, 0.3284, 0.3432)  6 Pr 3.33-3.36
Tl (0.5000, 0.5000, 0.0000)  6 Pr 3.33-3.36
Tl (0.0000, 0.6716, 0.6568)  6 Pr 3.33-3.36
Tl (0.5000, 0.8369, 0.3262)  6 Pr 3.35-3.37
Cd (0.0000, 0.0000, 0.0000)  6 Pr 3.34-3.35

Number 1: total magnetization 0.00 μB/f.u.. Number 2: total magnetization 0.01 μB/f.u.. Number 3: total magnetization 0.00 μB/f.u.. Number 4: total magnetization 0.00 μB/f.u.. Number 5: total magnetization 0.00 μB/f.u.. Number 6: total magnetization 0.00 μB/f.u..